First-principles (PBE) data for Ac2HoGe3Rh4 after structural relaxation, as listed in Alexandria via LeMat-Bulk.

Cell lengths 4.294, 4.294, 11.289 Å; angles 90.00, 90.00, 90.00 degrees
Space group P-4m2 (No. 115)
Asymmetric unit:
Ac1 0.000 0.500 0.235 (multiplicity 2)
Ho1 0.000 0.000 0.500 (multiplicity 1)
Ge1 0.000 0.500 0.882 (multiplicity 2)
Ge2 0.500 0.500 0.500 (multiplicity 1)
Rh1 0.000 0.000 0.000 (multiplicity 1)
Rh2 0.000 0.500 0.655 (multiplicity 2)
Rh3 0.500 0.500 0.000 (multiplicity 1)

Results
Its magnetic moment is 0.00 μB/atom. Its formation energy is -84.06 kJ per mole of atoms.

***

First-principles (PBE) data for SrMgRe2 after structural relaxation, as listed in Alexandria via LeMat-Bulk.

Cell lengths 6.711, 6.711, 6.711 Å; angles 90.00, 90.00, 90.00 degrees
Space group F-43m (No. 216)
Asymmetric unit:
Sr1 0.000 0.000 0.000 (multiplicity 4)
Mg1 0.250 0.250 0.250 (multiplicity 4)
Re1 0.000 0.000 0.500 (multiplicity 4)
Re2 0.250 0.250 0.750 (multiplicity 4)

Results
Its magnetic moment is 0.00 μB/atom. Its formation energy is 81.92 kJ per mole of atoms.

***

First-principles (PBE) data for ZnSnAsAu after structural relaxation, as listed in Alexandria via LeMat-Bulk.

Cell lengths 4.0862, 4.0862, 37.1152 Å; angles 90.00, 90.00, 120.00 degrees
Space group R-3m (No. 166, hexagonal axes)
Asymmetric unit:
Zn1 0.0000 0.0000 0.1895 (multiplicity 6)
Sn1 0.0000 0.0000 0.3988 (multiplicity 6)
As1 0.0000 0.0000 0.1180 (multiplicity 6)
Au1 0.0000 0.0000 0.3105 (multiplicity 6)

Results
Its magnetic moment is 0.00 μB/atom. Its formation energy is -5.61 kJ per mole of atoms.

***

First-principles (PBE) data for LiPm4ZnIn2 after structural relaxation, as listed in Alexandria via LeMat-Bulk.

Cell lengths 5.3810, 5.3810, 26.2565 Å; angles 90.00, 90.00, 120.00 degrees
Space group R-3m (No. 166, hexagonal axes)
Asymmetric unit:
Li1 0.0000 0.0000 0.0000 (multiplicity 3)
Pm1 0.0000 0.0000 0.1294 (multiplicity 6)
Pm2 0.0000 0.0000 0.3800 (multiplicity 6)
Zn1 0.0000 0.0000 0.5000 (multiplicity 3)
In1 0.0000 0.0000 0.2549 (multiplicity 6)

Results
Its magnetic moment is 0.00 μB/atom. Its formation energy is -33.65 kJ per mole of atoms.

***

First-principles (PBE) data for Li3FeCl after structural relaxation, as listed in Alexandria via LeMat-Bulk.

Cell lengths 4.599, 4.599, 4.599 Å; angles 90.00, 90.00, 90.00 degrees
Space group Pm-3m (No. 221)
Asymmetric unit:
Li1 0.000 0.000 0.500 (multiplicity 3)
Fe1 0.500 0.500 0.500 (multiplicity 1)
Cl1 0.000 0.000 0.000 (multiplicity 1)

Results
Its magnetic moment is 0.58 μB/atom. The value obtained for the energy relative to the elements, uncorrected is -0.13 eV/f.u. The value obtained for the energy relative to the lowest polymorph listed for this composition is 0.0000 eV/atom.

***

First-principles (PBE) data for Cs3Tl2Pt4 after structural relaxation, as listed in Alexandria via LeMat-Bulk.

Cell lengths 13.275, 4.726, 9.662 Å; angles 90.00, 109.35, 90.00 degrees
Space group C2/m (No. 12)
Asymmetric unit:
Cs1 0.000 0.000 0.000 (multiplicity 2)
Cs2 0.134 0.500 0.368 (multiplicity 4)
Tl1 0.163 0.500 0.768 (multiplicity 4)
Pt1 0.076 0.000 0.627 (multiplicity 4)
Pt2 0.230 0.000 0.922 (multiplicity 4)

Results
Its magnetic moment is 0.00 μB/atom. Its formation energy is -11.56 kJ per mole of atoms.

***

First-principles (PBE) data for EuErPt2 after structural relaxation, as listed in Alexandria via LeMat-Bulk.

Cell lengths 4.1251, 4.1251, 20.2177 Å; angles 90.00, 90.00, 120.00 degrees
Space group R-3m (No. 166, hexagonal axes)
Asymmetric unit:
Eu1 0.0000 0.0000 0.0000 (multiplicity 3)
Er1 0.0000 0.0000 0.5000 (multiplicity 3)
Pt1 0.0000 0.0000 0.2425 (multiplicity 6)

Results
Its magnetic moment is 1.74 μB/atom. Its formation energy is -94.41 kJ per mole of atoms. The value obtained for the energy relative to the lowest polymorph listed for this composition is 0.1392 eV/atom.

***

First-principles (PBE) data for Dy4Th2Sc after structural relaxation, as listed in Alexandria via LeMat-Bulk.

Cell lengths 6.732, 6.743, 6.789 Å; angles 119.23, 118.89, 90.27 degrees
Space group P-1 (No. 2)
Asymmetric unit:
Dy1 0.026 0.439 0.237 (multiplicity 2)
Dy2 0.437 0.024 0.235 (multiplicity 2)
Th1 0.499 0.499 0.221 (multiplicity 2)
Sc1 0.000 0.000 0.500 (multiplicity 1)

Results
Its magnetic moment is 0.00 μB/atom. Its formation energy is 28.71 kJ per mole of atoms. The value obtained for the energy relative to the lowest polymorph listed for this composition is 0.0000 eV/atom.

***

First-principles (PBE) data for CaP2Rh after structural relaxation, as listed in Alexandria via LeMat-Bulk.

Cell lengths 3.418, 3.479, 5.925 Å; angles 90.00, 90.00, 90.00 degrees
Space group Pmmm (No. 47)
Asymmetric unit:
Ca1 0.000 0.000 0.000 (multiplicity 1)
P1 0.500 0.500 0.320 (multiplicity 2)
Rh1 0.000 0.000 0.500 (multiplicity 1)

Results
Its magnetic moment is 0.00 μB/atom. Its formation energy is -38.12 kJ per mole of atoms. The value obtained for the energy relative to the lowest polymorph listed for this composition is 0.4285 eV/atom.

***

First-principles (PBE) data for Mn14Al56Ge3 after structural relaxation, as listed in Alexandria via LeMat-Bulk.

Cell lengths 11.0445, 11.0445, 10.2980 Å; angles 90.00, 90.00, 120.00 degrees
Space group P-3 (No. 147)
Asymmetric unit:
Mn1 0.0481 0.7905 0.1685 (multiplicity 6)
Mn2 0.0628 0.6401 0.5721 (multiplicity 6)
Mn3 0.3333 0.6667 0.9452 (multiplicity 2)
Al1 0.0000 0.0000 0.2440 (multiplicity 2)
Al2 0.0281 0.8328 0.9223 (multiplicity 6)
Al3 0.0624 0.6149 0.3300 (multiplicity 6)
Al4 0.1020 0.4067 0.2308 (multiplicity 6)
Al5 0.1148 0.6223 0.0642 (multiplicity 6)
Al6 0.1311 0.2623 0.4161 (multiplicity 6)
Al7 0.1378 0.4168 0.9527 (multiplicity 6)
Al8 0.1449 0.2989 0.6882 (multiplicity 6)
Al9 0.1679 0.6250 0.7733 (multiplicity 6)
Al10 0.1908 0.5128 0.5164 (multiplicity 6)
Ge1 0.0000 0.0000 0.5000 (multiplicity 1)
Ge2 0.3333 0.6667 0.2213 (multiplicity 2)

Results
Its magnetic moment is 0.00 μB/atom. Its formation energy is -21.89 kJ per mole of atoms.

***

First-principles (PBE) data for Pu2U2N7 after structural relaxation, as listed in Alexandria via LeMat-Bulk.

Cell lengths 7.311, 7.765, 5.347 Å; angles 90.00, 90.00, 90.00 degrees
Space group Cmmm (No. 65)
Asymmetric unit:
Pu1 0.236 0.000 0.000 (multiplicity 4)
U1 0.000 0.233 0.500 (multiplicity 4)
N1 0.000 0.000 0.251 (multiplicity 4)
N2 0.000 0.500 0.500 (multiplicity 2)
N3 0.250 0.250 0.247 (multiplicity 8)

Results
Its magnetic moment is 0.64 μB/atom. The value obtained for the energy relative to the elements, uncorrected is -12.13 eV/f.u. The value obtained for the energy relative to the lowest polymorph listed for this composition is 0.0967 eV/atom.

***

First-principles (PBE) data for BeNb3Rh after structural relaxation, as listed in Alexandria via LeMat-Bulk.

Cell lengths 4.795, 4.795, 4.795 Å; angles 90.00, 90.00, 90.00 degrees
Space group Pm-3m (No. 221)
Asymmetric unit:
Be1 0.000 0.000 0.000 (multiplicity 1)
Nb1 0.000 0.500 0.500 (multiplicity 3)
Rh1 0.500 0.500 0.500 (multiplicity 1)

Results
Its magnetic moment is 0.00 μB/atom. Its formation energy is 126.93 kJ per mole of atoms. The value obtained for the energy relative to the lowest polymorph listed for this composition is 0.8190 eV/atom.

***

First-principles (PBE) data for Te2IBrO after structural relaxation, as listed in Alexandria via LeMat-Bulk.

Cell lengths 4.945, 4.945, 5.120 Å; angles 90.00, 90.00, 90.00 degrees
Space group P4/mmm (No. 123)
Asymmetric unit:
Te1 0.000 0.500 0.000 (multiplicity 2)
I1 0.000 0.000 0.500 (multiplicity 1)
Br1 0.500 0.500 0.500 (multiplicity 1)
O1 0.000 0.000 0.000 (multiplicity 1)

Results
Its magnetic moment is 0.00 μB/atom. The value obtained for the energy relative to the elements, uncorrected is 2.00 eV/f.u. The value obtained for the energy relative to the lowest polymorph listed for this composition is 0.0000 eV/atom.

***

First-principles (PBE) data for Sc2BePt3 after structural relaxation, as listed in Alexandria via LeMat-Bulk.

Cell lengths 5.4007, 5.4007, 11.4556 Å; angles 90.00, 90.00, 120.00 degrees
Space group R-3m (No. 166, hexagonal axes)
Asymmetric unit:
Sc1 0.0000 0.0000 0.1282 (multiplicity 6)
Be1 0.0000 0.0000 0.5000 (multiplicity 3)
Pt1 0.0000 0.5000 0.0000 (multiplicity 9)

Results
Its magnetic moment is 0.00 μB/atom. Its formation energy is -99.74 kJ per mole of atoms.